# 1
DFT (PBEsol) results for a geometry-optimized LiZrCr structure. Values from VASP.

```
&SYSTEM
  ibrav = 0, nat = 3, ntyp = 3
/
ATOMIC_SPECIES
Li 6.94 Li.upf
Zr 91.22 Zr.upf
Cr 52.00 Cr.upf
ATOMIC_POSITIONS angstrom
Li 0.000 0.000 0.000
Zr 0.000 0.000 3.063
Cr 0.000 0.000 6.589
CELL_PARAMETERS angstrom
-1.587 1.587 5.114
1.587 -1.587 5.114
1.587 1.587 -5.114
```

E_form (meV per atom): 476
Crystal system: tetragonal
Relative energy among the computed polymorphs (kJ per mole of atoms): 0.00
Magnetization (Bohr magnetons per cell): 2.64



# 2
DFT (PBEsol) results for a geometry-optimized Ba3SbAs structure. Values from VASP.

```
&SYSTEM
  ibrav = 0, nat = 5, ntyp = 3
/
ATOMIC_SPECIES
Ba 137.33 Ba.upf
Sb 121.76 Sb.upf
As 74.92 As.upf
ATOMIC_POSITIONS angstrom
Ba 0.000 0.000 3.193
Ba 0.000 3.193 0.000
Ba 3.193 0.000 0.000
Sb 0.000 0.000 0.000
As 3.193 3.193 3.193
CELL_PARAMETERS angstrom
6.385 0.000 0.000
0.000 6.385 0.000
0.000 0.000 6.385
```

Formation energy (no corrections) (meV per atom): -365
Crystal system: cubic
Magnetization (Bohr magnetons per cell): 0.00



# 3
DFT (PBEsol) results for a geometry-optimized CaSbRhI2 structure. Values from VASP.

```
&SYSTEM
  ibrav = 0, nat = 5, ntyp = 4
/
ATOMIC_SPECIES
Ca 40.08 Ca.upf
Sb 121.76 Sb.upf
Rh 102.91 Rh.upf
I 126.90 I.upf
ATOMIC_POSITIONS angstrom
Ca 0.000 0.000 0.000
Sb 0.000 0.000 3.001
Rh 2.848 2.848 3.001
I 0.000 2.848 0.000
I 2.848 0.000 0.000
CELL_PARAMETERS angstrom
5.695 0.000 0.000
0.000 5.695 0.000
0.000 0.000 6.003
```

Formation energy (no corrections) (meV per atom): 755
Crystal system: tetragonal
Magnetization (Bohr magnetons per cell): 0.48



# 4
DFT (PBEsol) results for a geometry-optimized AgIrI2O structure. Values from VASP.

```
&SYSTEM
  ibrav = 0, nat = 5, ntyp = 4
/
ATOMIC_SPECIES
Ag 107.87 Ag.upf
Ir 192.22 Ir.upf
I 126.90 I.upf
O 16.00 O.upf
ATOMIC_POSITIONS angstrom
Ag 0.000 0.000 0.000
Ir 2.786 2.786 1.848
I 0.000 2.786 1.848
I 2.786 0.000 1.848
O 2.786 2.786 0.000
CELL_PARAMETERS angstrom
5.572 0.000 0.000
0.000 5.572 0.000
0.000 0.000 3.696
```

Formation energy (no corrections) (meV per atom): 20
Crystal system: tetragonal
Relative energy among the computed polymorphs (kJ per mole of atoms): 0.00
Magnetization (Bohr magnetons per cell): 0.00



# 5
DFT (PBEsol) results for a geometry-optimized Li3Cr4O8 structure. Values from VASP.

```
&SYSTEM
  ibrav = 0, nat = 15, ntyp = 3
/
ATOMIC_SPECIES
Li 6.94 Li.upf
Cr 52.00 Cr.upf
O 16.00 O.upf
ATOMIC_POSITIONS angstrom
Li -1.448 -0.836 4.742
Li -1.448 0.836 9.483
Li 0.000 1.672 4.742
Cr -2.896 0.000 7.113
Cr -1.448 0.836 2.371
Cr 1.448 0.836 2.371
Cr 0.000 0.000 7.113
O 0.000 0.000 3.435
O -1.429 -0.825 8.126
O 0.000 -1.650 6.099
O -1.429 0.825 6.099
O 1.429 -0.825 8.126
O 0.000 1.650 8.126
O 1.429 0.825 6.099
O 0.000 0.000 10.790
CELL_PARAMETERS angstrom
2.896 1.672 4.742
-2.896 1.672 4.742
0.000 -3.344 4.742
```

Formation energy (no corrections) (meV per atom): -2005
Crystal system: trigonal
Magnetization (Bohr magnetons per cell): 11.00



# 6
DFT (PBEsol) results for a geometry-optimized Al2FeBr structure. Values from VASP.

```
&SYSTEM
  ibrav = 0, nat = 4, ntyp = 3
/
ATOMIC_SPECIES
Al 26.98 Al.upf
Fe 55.84 Fe.upf
Br 79.90 Br.upf
ATOMIC_POSITIONS angstrom
Al 1.952 0.000 1.963
Al 0.000 1.952 1.963
Fe 0.000 0.000 0.000
Br 0.000 0.000 3.926
CELL_PARAMETERS angstrom
-1.952 1.952 3.926
1.952 -1.952 3.926
1.952 1.952 -3.926
```

Formation energy (no corrections) (meV per atom): 507
Crystal system: tetragonal
Relative energy among the computed polymorphs (kJ per mole of atoms): 39.63
Magnetization (Bohr magnetons per cell): 0.00



# 7
DFT (PBEsol) results for a geometry-optimized P2PbS2 structure. Values from VASP.

```
&SYSTEM
  ibrav = 0, nat = 5, ntyp = 3
/
ATOMIC_SPECIES
P 30.97 P.upf
Pb 207.20 Pb.upf
S 32.06 S.upf
ATOMIC_POSITIONS angstrom
P 0.000 2.597 0.000
P 2.597 0.000 0.000
Pb 0.000 0.000 0.000
S 0.000 0.000 2.464
S 2.597 2.597 2.464
CELL_PARAMETERS angstrom
5.194 0.000 0.000
0.000 5.194 0.000
0.000 0.000 4.927
```

Formation energy (no corrections) (meV per atom): 1580
Crystal system: tetragonal
Relative energy among the computed polymorphs (kJ per mole of atoms): 14.70
Magnetization (Bohr magnetons per cell): 0.62



# 8
DFT (PBEsol) results for a geometry-optimized KBa3 structure. Values from VASP.

```
&SYSTEM
  ibrav = 0, nat = 4, ntyp = 2
/
ATOMIC_SPECIES
K 39.10 K.upf
Ba 137.33 Ba.upf
ATOMIC_POSITIONS angstrom
K 0.000 0.000 0.000
Ba 0.000 0.000 7.204
Ba 2.415 0.000 3.745
Ba 2.415 0.000 10.664
CELL_PARAMETERS angstrom
2.415 -3.508 0.000
2.415 3.508 0.000
0.000 0.000 14.409
```

E_form (meV per atom): 53
Crystal system: orthorhombic
Relative energy among the computed polymorphs (kJ per mole of atoms): 0.00
Magnetization (Bohr magnetons per cell): 0.00